TcBBr3, optimized geometry, DFT PBE; SG = Pm-3m, No. 221; final energy = -16.89 eV/cell; magnetic moment = 3.59 μB per cell; raw formation energy = 1.034 eV/atom
1.0
5.188 0.000 0.000
0.000 5.188 0.000
0.000 0.000 5.188
Tc B Br
1 1 3
direct
0.000 0.000 0.000
0.500 0.500 0.500
0.000 0.000 0.500
0.000 0.500 0.000
0.500 0.000 0.000